1.
CdCuRu3, relaxed, DFT PBE; energy above the lowest structure with this stoichiometry = 0 meV per atom; ΔE_f = 7.4 eV/f.u.; VASP energy = -5.093 eV/atom
1.0
4.539 0.000 0.000
0.000 4.539 0.000
0.000 0.000 4.539
Ru Cu Cd
3 1 1
Cartesian
0.000 2.270 0.000 Ru
0.000 0.000 2.270 Ru
2.270 0.000 0.000 Ru
0.000 0.000 0.000 Cu
2.270 2.270 2.270 Cd

***

2.
CdCuRu, relaxed, DFT PBE; energy above the lowest structure with this stoichiometry = 503 meV per atom; ΔE_f = 2.0 eV/f.u.; VASP energy = -4.106 eV/atom
1.0
-1.654 -3.670 -1.208
-1.796 -2.530 2.835
-4.170 -0.528 0.003
Cd Cu Ru
1 1 1
Cartesian
-3.810 -3.364 0.815 Cd
-5.715 -5.046 1.223 Cu
0.000 0.000 0.000 Ru

***

3.
CdCu2Ru4, relaxed, DFT PBE; ΔE_f = 13.8 eV/f.u.; VASP energy = -4.630 eV/atom
1.0
-2.650 -3.341 -2.279
2.497 0.791 -4.064
3.971 -5.606 -1.528
Ru Cu Cd
4 2 1
Cartesian
1.567 -4.391 -5.644 Ru
2.251 -3.765 -2.226 Ru
1.248 0.396 -2.032 Ru
-1.325 -1.671 -1.139 Ru
3.122 -6.054 -5.013 Cu
0.696 -2.102 -2.858 Cu
0.000 0.000 0.000 Cd

***

4.
CdCuRu, relaxed, DFT PBE; energy above the lowest structure with this stoichiometry = 159 meV per atom; ΔE_f = 0.9 eV/f.u.; VASP energy = -4.450 eV/atom
1.0
-2.952 -0.654 -5.277
-0.542 -2.075 -5.691
-1.388 -2.444 0.321
Cd Cu Ru
1 1 1
Cartesian
-3.488 -2.729 -10.934 Cd
-2.070 -2.536 -3.335 Cu
-2.819 -2.638 -7.346 Ru

***

5.
CdCu2Ru2, relaxed, DFT PBE; energy above the lowest structure with this stoichiometry = 1398 meV per atom; ΔE_f = 9.3 eV/f.u.; VASP energy = -3.678 eV/atom
1.0
4.560 0.000 0.000
0.000 4.560 0.000
0.000 0.000 4.975
Ru Cu Cd
2 2 1
Cartesian
2.280 2.280 2.487 Ru
0.000 0.000 2.487 Ru
0.000 2.280 0.000 Cu
2.280 0.000 0.000 Cu
0.000 0.000 0.000 Cd

***

6.
CdCuRu, relaxed, DFT PBE; energy above the lowest structure with this stoichiometry = 172 meV per atom; ΔE_f = 1.0 eV/f.u.; VASP energy = -4.437 eV/atom
1.0
-0.267 -1.226 -2.504
-1.139 -1.185 2.268
-5.749 3.455 -1.080
Cd Cu Ru
1 1 1
Cartesian
-0.026 0.016 -0.005 Cd
-2.545 -0.018 -1.287 Cu
-4.583 1.046 -0.024 Ru